(1)
Computed, not measured: a relaxed Tb3TmAl2 crystal at the PBE level of DFT.

Properties
- E: -4.09 eV/atom
- Polymorph energy (0 for the lowest one): 510 meV per atom
- Density of states at the Fermi level: 7.50 states/eV/f.u.

a = 9.6326 Å, b = 9.6326 Å, c = 9.6326 Å
α = 160.34°, β = 146.61°, γ = 39.05°
Element x y z (fractional)
Tb  0.0000  0.0000  0.0000
Tb  0.3132  0.8132  0.5000
Tb  0.6868  0.1868  0.5000
Tm  0.5000  0.0000  0.5000
Al  0.1450  0.6450  0.5000
Al  0.8550  0.3550  0.5000

***

(2)
Computed, not measured: a relaxed SiBrO2 crystal at the PBE level of DFT.

Properties
- E: -4.62 eV/atom
- Polymorph energy (0 for the lowest one): 1323 meV per atom
- Density of states at the Fermi level: 1.27 states/eV/f.u.
- Uncorrected formation energy: -371 meV/atom

a = 8.9137 Å, b = 8.9137 Å, c = 8.9137 Å
α = 19.92°, β = 19.92°, γ = 19.92°
Element x y z (fractional)
Si  0.0000  0.0000  0.0000
Br  0.5000  0.5000  0.5000
O  0.0584  0.0584  0.0584
O  0.9416  0.9416  0.9416

***

(3)
Computed, not measured: a relaxed Ac2ZnIn8 crystal at the PBE level of DFT.

Properties
- E: -3.14 eV/atom
- Density of states at the Fermi level: 2.47 states/eV/f.u.

a = 4.9812 Å, b = 4.9812 Å, c = 12.5720 Å
α = 90.00°, β = 90.00°, γ = 90.00°
Element x y z (fractional)
Ac  0.0000  0.0000  0.1947
Ac  0.0000  0.0000  0.8053
Zn  0.0000  0.0000  0.5000
In  0.0000  0.5000  0.0000
In  0.0000  0.5000  0.3792
In  0.0000  0.5000  0.6208
In  0.5000  0.0000  0.0000
In  0.5000  0.0000  0.3792
In  0.5000  0.0000  0.6208
In  0.5000  0.5000  0.1976
In  0.5000  0.5000  0.8024

***

(4)
Computed, not measured: a relaxed Be2SbRh crystal at the PBE level of DFT.

Properties
- E: -4.66 eV/atom
- Density of states at the Fermi level: 1.44 states/eV/f.u.
- Uncorrected formation energy: 74 meV/atom

a = 3.0426 Å, b = 3.9784 Å, c = 4.8701 Å
α = 90.00°, β = 95.94°, γ = 90.00°
Element x y z (fractional)
Be  0.1835  0.0000  0.3180
Be  0.8165  0.0000  0.6820
Sb  0.0000  0.5000  0.0000
Rh  0.5000  0.5000  0.5000

***

(5)
Computed, not measured: a relaxed Rb3HfSn2Te6 crystal at the PBE level of DFT.

Properties
- E: -4.05 eV/atom
- Density of states at the Fermi level: 5.27 states/eV/f.u.
- Uncorrected formation energy: -739 meV/atom

a = 7.8171 Å, b = 7.8171 Å, c = 8.8519 Å
α = 98.48°, β = 98.48°, γ = 120.00°
Element x y z (fractional)
Rb  0.0000  0.0000  0.0000
Rb  0.3262  0.6738  0.0000
Rb  0.6738  0.3262  0.0000
Hf  0.5000  0.5000  0.5000
Sn  0.1657  0.8343  0.5000
Sn  0.8343  0.1657  0.5000
Te  0.1253  0.4363  0.3085
Te  0.2547  0.2547  0.6937
Te  0.4363  0.1253  0.3085
Te  0.5637  0.8747  0.6915
Te  0.7453  0.7453  0.3063
Te  0.8747  0.5637  0.6915

***

(6)
Computed, not measured: a relaxed Li2TiSeO6 crystal at the PBE level of DFT.

Properties
- E: -6.18 eV/atom
- Density of states at the Fermi level: 0.00 states/eV/f.u.
- Uncorrected formation energy: -1686 meV/atom

a = 5.0967 Å, b = 5.0967 Å, c = 4.6734 Å
α = 90.00°, β = 90.00°, γ = 90.00°
Element x y z (fractional)
Li  0.0000  0.5000  0.0000
Li  0.5000  0.0000  0.0000
Ti  0.0000  0.0000  0.6438
Se  0.5000  0.5000  0.6621
O  0.0000  0.0000  0.2842
O  0.2627  0.2627  0.7821
O  0.2627  0.7373  0.7821
O  0.5000  0.5000  0.3099
O  0.7373  0.2627  0.7821
O  0.7373  0.7373  0.7821

***

(7)
Computed, not measured: a relaxed ErHfAl3 crystal at the PBE level of DFT.

Properties
- E: -5.40 eV/atom
- Density of states at the Fermi level: 3.69 states/eV/f.u.

a = 7.5398 Å, b = 7.5398 Å, c = 5.1648 Å
α = 90.00°, β = 90.00°, γ = 135.60°
Element x y z (fractional)
Er  0.0840  0.9160  0.7500
Er  0.9160  0.0840  0.2500
Hf  0.3085  0.6915  0.2500
Hf  0.6915  0.3085  0.7500
Al  0.1161  0.3962  0.7500
Al  0.3962  0.1161  0.2500
Al  0.5000  0.5000  0.0000
Al  0.5000  0.5000  0.5000
Al  0.6038  0.8839  0.7500
Al  0.8839  0.6038  0.2500

***

(8)
Computed, not measured: a relaxed CuIr2Cl crystal at the PBE level of DFT.

Properties
- E: -5.25 eV/atom
- Polymorph energy (0 for the lowest one): 382 meV per atom
- Density of states at the Fermi level: 3.44 states/eV/f.u.
- Uncorrected formation energy: 663 meV/atom

a = 2.8544 Å, b = 4.4668 Å, c = 4.6805 Å
α = 90.00°, β = 91.94°, γ = 90.00°
Element x y z (fractional)
Cu  0.0000  0.0000  0.0000
Ir  0.2574  0.5000  0.2427
Ir  0.7426  0.5000  0.7573
Cl  0.5000  0.0000  0.5000

***

(9)
Computed, not measured: a relaxed CeGd2Y crystal at the PBE level of DFT.

Properties
- E: -10.06 eV/atom
- Polymorph energy (0 for the lowest one): 19 meV per atom
- Density of states at the Fermi level: 9.31 states/eV/f.u.

a = 5.0197 Å, b = 5.0197 Å, c = 5.0556 Å
α = 90.00°, β = 90.00°, γ = 90.00°
Element x y z (fractional)
Ce  0.0000  0.0000  0.0000
Gd  0.0000  0.5000  0.5000
Gd  0.5000  0.0000  0.5000
Y  0.5000  0.5000  0.0000

***

(10)
Computed, not measured: a relaxed CdIn2Rh crystal at the PBE level of DFT.

Properties
- E: -3.53 eV/atom
- Density of states at the Fermi level: 0.82 states/eV/f.u.

a = 3.7027 Å, b = 3.7027 Å, c = 5.8549 Å
α = 90.00°, β = 90.00°, γ = 90.00°
Element x y z (fractional)
Cd  0.0000  0.0000  0.0000
In  0.0000  0.0000  0.5353
In  0.5000  0.5000  0.2460
Rh  0.5000  0.5000  0.7402

***

(11)
Computed, not measured: a relaxed RbGaCu2F8 crystal at the PBE level of DFT.

Properties
- E: -4.20 eV/atom
- Density of states at the Fermi level: 11.76 states/eV/f.u.
- Uncorrected formation energy: -1933 meV/atom

a = 8.5604 Å, b = 8.5604 Å, c = 8.5604 Å
α = 35.19°, β = 35.19°, γ = 35.19°
Element x y z (fractional)
Rb  0.0000  0.0000  0.0000
Ga  0.5000  0.5000  0.5000
Cu  0.2365  0.2365  0.2365
Cu  0.7635  0.7635  0.7635
F  0.1705  0.4241  0.7517
F  0.2483  0.5759  0.8295
F  0.3119  0.3119  0.3119
F  0.4241  0.7517  0.1705
F  0.5759  0.8295  0.2483
F  0.6881  0.6881  0.6881
F  0.7517  0.1705  0.4241
F  0.8295  0.2483  0.5759

***

(12)
Computed, not measured: a relaxed RbZnGa3 crystal at the PBE level of DFT.

Properties
- E: -1.03 eV/atom
- Polymorph energy (0 for the lowest one): 1027 meV per atom
- Density of states at the Fermi level: 5.74 states/eV/f.u.

a = 6.2884 Å, b = 6.2884 Å, c = 6.2884 Å
α = 90.00°, β = 90.00°, γ = 90.00°
Element x y z (fractional)
Rb  0.0000  0.0000  0.0000
Zn  0.5000  0.5000  0.5000
Ga  0.0000  0.0000  0.5000
Ga  0.0000  0.5000  0.0000
Ga  0.5000  0.0000  0.0000